! LiFe2Mo PBE relaxed; values from VASP
! total magnetization	2.938	μB/cell
! energy of formation	0.285	eV/atom
! calculated density	7.045	g/cm3
&SYSTEM
  ibrav = 0, nat = 4, ntyp = 3
/
ATOMIC_SPECIES
Fe 55.84 Fe.upf
Li 6.94 Li.upf
Mo 95.94 Mo.upf
CELL_PARAMETERS angstrom
-3.827 0.910 -3.029
-1.869 -0.349 -4.587
-2.593 -3.269 -0.615
ATOMIC_POSITIONS angstrom
Fe -2.628 -3.225 -0.696
Fe -6.174 -2.081 -6.079
Li -4.112 -1.397 -4.040
Mo -2.112 -0.627 -2.148